No. 1
This record from Alexandria via LeMat-Bulk describes KHgB2Rh at its PBEsol-relaxed geometry. The functional is meta-GGA SCAN.

Cell: 4.6017 4.6017 4.7555 Å, 90.00 90.00 90.00°
Closest atoms and distances in Å follow each position.
Atoms (fractional coordinates):
1 K 0.0000 0.0000 0.0000  4 B 2.30, 2 Rh 2.38
2 Hg 0.5000 0.5000 0.5000  4 Rh 3.25, 8 B 3.31
3 B 0.0000 0.5000 0.0000  2 K 2.30
4 B 0.5000 0.0000 0.0000  2 K 2.30
5 Rh 0.0000 0.0000 0.5000  2 K 2.38

Results
Energy of formation, eV per atom: 2.924
DFT total energy, hartree per atom: -0.812

---

No. 2
This record from Alexandria via LeMat-Bulk describes Re2SbAu at its PBEsol-relaxed geometry. The functional is meta-GGA SCAN.

Cell: 2.8473 4.8499 10.0045 Å, 90.00 90.00 90.00°
Closest atoms and distances in Å follow each position.
Atoms (fractional coordinates):
1 Re 0.0000 0.0000 0.2394  2 Au 2.79, 6 Re 2.81-2.85, 2 Sb 2.97
2 Re 0.0000 0.0000 0.7606  2 Au 2.79, 6 Re 2.81-2.85, 2 Sb 2.97
3 Re 0.5000 0.5000 0.2394  2 Au 2.79, 6 Re 2.81-2.85, 2 Sb 2.97
4 Re 0.5000 0.5000 0.7606  2 Au 2.79, 6 Re 2.81-2.85, 2 Sb 2.97
5 Sb 0.0000 0.5000 0.5000  6 Sb 2.81-2.85, 4 Re 2.97
6 Sb 0.5000 0.0000 0.5000  6 Sb 2.81-2.85, 4 Re 2.97
7 Au 0.0000 0.5000 0.0000  4 Re 2.79, 6 Au 2.81-2.85
8 Au 0.5000 0.0000 0.0000  4 Re 2.79, 6 Au 2.81-2.85

Results
DFT total energy, hartree per atom: -2.243
Formation energy without anion corrections, meV per atom: 1114

---

No. 3
This record from Alexandria via LeMat-Bulk describes MnCo4Ag at its PBEsol-relaxed geometry. The functional is meta-GGA SCAN.

Cell: 4.6717 4.6717 4.6717 Å, 60.00 60.00 60.00°
Closest atoms and distances in Å follow each position.
Atoms (fractional coordinates):
1 Mn 0.0000 0.0000 0.0000  12 Co 2.74, 4 Ag 2.86
2 Co 0.3748 0.3748 0.3748  6 Co 2.33-2.34
3 Co 0.3748 0.3748 0.8757  6 Co 2.33-2.34
4 Co 0.3748 0.8757 0.3748  6 Co 2.33-2.34
5 Co 0.8757 0.3748 0.3748  6 Co 2.33-2.34
6 Ag 0.7500 0.7500 0.7500  12 Co 2.74, 4 Mn 2.86

Results
Energy of formation, eV per atom: 0.117
DFT total energy, hartree per atom: -0.724

---

No. 4
This record from Alexandria via LeMat-Bulk describes BeAlIN2 at its PBEsol-relaxed geometry. The functional is meta-GGA SCAN.

Cell: 3.6619 3.6619 5.2475 Å, 90.00 90.00 90.00°
Closest atoms and distances in Å follow each position.
Atoms (fractional coordinates):
1 Be 0.0000 0.0000 0.0000  4 N 1.83
2 Al 0.5000 0.5000 0.5000  4 I 2.59
3 I 0.0000 0.0000 0.5000  4 Al 2.59, 2 Be 2.62
4 N 0.0000 0.5000 0.0000  2 Be 1.83
5 N 0.5000 0.0000 0.0000  2 Be 1.83

Results
DFT total energy, hartree per atom: -0.445
Formation energy without anion corrections, meV per atom: 1368

---

> Number 4 is which compound?

BeAlIN2

---

> What is the DFT total energy in the second record?

-2.243 hartree per atom

---

> Among the records above, which one has the highest DFT total energy?

BeAlIN2

---

> Number 4 is which compound?

BeAlIN2